Record 1
VASP calculation (PBE) on Pr7DyTm4 after structural relaxation.

## Properties
Fermi-level density of states	1.617	states/eV per atom
energy above the lowest structure with this stoichiometry	235	kJ/mol of formula units
E_tot	-0.1635	Ha/atom

```
data_Pr7DyTm4
_chemical_formula_sum 'Pr14 Dy2 Tm8'
_symmetry_space_group_name_H-M 'C 1 2/m 1'
_symmetry_Int_Tables_number 12
_symmetry_space_group_name_Hall '-C 2y'
_cell_length_a 16.207
_cell_length_b 6.029
_cell_length_c 9.542
_cell_angle_alpha 90.00
_cell_angle_beta 117.52
_cell_angle_gamma 90.00
loop_
_atom_site_label
_atom_site_fract_x
_atom_site_fract_y
_atom_site_fract_z
Pr1 0.000 0.000 0.000
Pr2 0.088 0.500 0.455
Pr3 0.213 0.500 0.890
Pr4 0.220 0.500 0.251
Dy1 0.000 0.500 0.000
Tm1 0.067 0.000 0.700
Tm2 0.167 0.000 0.369
```

Record 2
VASP calculation (PBE) on CeTmCdOs after structural relaxation.

## Properties
Fermi-level density of states	0.912	states/eV per atom
energy above the lowest structure with this stoichiometry	57	kJ/mol of formula units
E_tot	-0.2128	Ha/atom

```
data_CeTmCdOs
_chemical_formula_sum 'Ce4 Tm4 Cd4 Os4'
_symmetry_space_group_name_H-M 'F -4 3 m'
_symmetry_Int_Tables_number 216
_symmetry_space_group_name_Hall 'F -4 2 3'
_cell_length_a 7.117
_cell_length_b 7.117
_cell_length_c 7.117
_cell_angle_alpha 90.00
_cell_angle_beta 90.00
_cell_angle_gamma 90.00
loop_
_atom_site_label
_atom_site_fract_x
_atom_site_fract_y
_atom_site_fract_z
Ce1 0.000 0.000 0.000
Tm1 0.000 0.000 0.500
Cd1 0.250 0.250 0.750
Os1 0.250 0.250 0.250
```